! PBE-GGA CePrHgPb, relaxed; values from VASP
&SYSTEM
  ibrav = 0, nat = 4, ntyp = 4
/
ATOMIC_SPECIES
Pb 207.20 Pb.upf
Pr 140.91 Pr.upf
Hg 200.59 Hg.upf
Ce 140.12 Ce.upf
ATOMIC_POSITIONS crystal
Pb 0.2500 0.2500 0.2500
Pr 0.5000 0.5000 0.5000
Hg 0.7500 0.7500 0.7500
Ce 0.0000 0.0000 0.0000
CELL_PARAMETERS angstrom
5.5195 0.0000 0.0000
2.7597 4.7800 0.0000
2.7597 1.5933 4.5066
! formation energy from the elements: -9.6 kcal/mol of atoms
! magnetic moment: 1.4 μB/f.u.
! energy above the most stable polymorph in this dataset: 6.0 meV/atom
! theoretical density: 9.62 g/cm3
! D(E_F): 11.1 states/eV/cell
! V: 29.7 Å³ per atom
! uncorrected energy: -4.10 eV/atom

! PBE-GGA Ni2IrRh2, relaxed; values from VASP
&SYSTEM
  ibrav = 0, nat = 10, ntyp = 3
/
ATOMIC_SPECIES
Rh 102.91 Rh.upf
Ir 192.22 Ir.upf
Ni 58.69 Ni.upf
ATOMIC_POSITIONS crystal
Rh 0.1768 0.6768 0.5000
Ir 0.5000 0.5000 0.0000
Ni 0.8791 0.6209 0.0000
Ni 0.6209 0.1209 0.0000
Rh 0.6768 0.8232 0.5000
Ir 0.0000 0.0000 0.0000
Rh 0.8232 0.3232 0.5000
Ni 0.3791 0.8791 0.0000
Rh 0.3232 0.1768 0.5000
Ni 0.1209 0.3791 0.0000
CELL_PARAMETERS angstrom
6.9647 0.0000 0.0000
0.0000 6.9647 0.0000
0.0000 0.0000 2.7564
! formation energy from the elements: 5.9 kcal/mol of atoms
! magnetic moment: 3.3 μB/f.u.
! energy above the most stable polymorph in this dataset: 199.6 meV/atom
! theoretical density: 12.80 g/cm3
! D(E_F): 18.5 states/eV/cell
! V: 13.4 Å³ per atom
! uncorrected energy: -6.77 eV/atom

! PBE-GGA Sr2CeUN4, relaxed; values from VASP
&SYSTEM
  ibrav = 0, nat = 8, ntyp = 4
/
ATOMIC_SPECIES
Ce 140.12 Ce.upf
Sr 87.62 Sr.upf
N 14.01 N.upf
U 238.03 U.upf
ATOMIC_POSITIONS crystal
Ce 0.0000 0.0000 0.0000
Sr 0.0000 0.5000 0.5000
N 0.5000 0.7391 0.8038
Sr 0.5000 0.0000 0.5000
U 0.5000 0.5000 0.0000
N 0.0000 0.7170 0.1967
N 0.5000 0.2609 0.1962
N 0.0000 0.2830 0.8033
CELL_PARAMETERS angstrom
3.6221 0.0000 0.0000
0.0000 6.2385 0.1246
0.0000 -2.1669 5.9416
! magnetic moment: 1.9 μB/f.u.
! theoretical density: 7.48 g/cm3
! D(E_F): 4.9 states/eV/cell
! E_form (uncorrected): -1.211 eV/atom
! V: 16.9 Å³ per atom
! uncorrected energy: -7.95 eV/atom

! PBE-GGA YTl2InPt, relaxed; values from VASP
&SYSTEM
  ibrav = 0, nat = 5, ntyp = 4
/
ATOMIC_SPECIES
Y 88.91 Y.upf
Tl 204.38 Tl.upf
Pt 195.08 Pt.upf
In 114.82 In.upf
ATOMIC_POSITIONS crystal
Y 0.5000 0.5000 0.5000
Tl 0.5000 0.0000 0.0000
Tl 0.0000 0.0000 0.5000
Pt 0.0000 0.0000 0.0000
In 0.0000 0.5000 0.0000
CELL_PARAMETERS angstrom
-4.0177 -3.2573 1.0723
0.0680 -1.6989 -4.9058
3.4285 -3.7821 1.3573
! formation energy from the elements: 1.2 kcal/mol of atoms
! magnetic moment: 0.0 μB/f.u.
! theoretical density: 9.26 g/cm3
! D(E_F): 3.9 states/eV/cell
! V: 29.0 Å³ per atom
! uncorrected energy: -3.94 eV/atom

! PBE-GGA LaSn2Pb2, relaxed; values from VASP
&SYSTEM
  ibrav = 0, nat = 5, ntyp = 3
/
ATOMIC_SPECIES
Sn 118.71 Sn.upf
Pb 207.20 Pb.upf
La 138.91 La.upf
ATOMIC_POSITIONS crystal
Sn 0.4069 0.4069 0.1862
Sn 0.5931 0.5931 0.8138
Pb 0.7500 0.2500 0.5000
La 0.0000 0.0000 0.0000
Pb 0.2500 0.7500 0.5000
CELL_PARAMETERS angstrom
4.6319 0.0000 0.0000
0.0000 4.6319 0.0000
2.3159 2.3159 7.5933
! formation energy from the elements: -5.2 kcal/mol of atoms
! magnetic moment: 0.0 μB/f.u.
! energy above the most stable polymorph in this dataset: 145.6 meV/atom
! theoretical density: 8.06 g/cm3
! D(E_F): 3.2 states/eV/cell
! V: 32.6 Å³ per atom
! uncorrected energy: -4.30 eV/atom

! PBE-GGA La4HRuBr2, relaxed; values from VASP
&SYSTEM
  ibrav = 0, nat = 8, ntyp = 4
/
ATOMIC_SPECIES
La 138.91 La.upf
Br 79.90 Br.upf
Ru 101.07 Ru.upf
H 1.01 H.upf
ATOMIC_POSITIONS crystal
La 0.0000 0.7447 0.1959
Br 0.5000 0.0000 0.5000
Br 0.0000 0.5000 0.5000
Ru 0.5000 0.5000 0.0000
La 0.0000 0.2553 0.8041
H 0.0000 0.0000 0.0000
La 0.5000 0.7670 0.8006
La 0.5000 0.2330 0.1994
CELL_PARAMETERS angstrom
-2.1441 -3.3614 -0.7465
0.9120 -2.0143 6.4509
-6.9494 4.4403 -0.0345
! magnetic moment: 0.0 μB/f.u.
! theoretical density: 6.19 g/cm3
! D(E_F): 4.6 states/eV/cell
! V: 27.4 Å³ per atom
! uncorrected energy: -5.34 eV/atom